{"formula": "LiLa2TmS4", "functional": "GGA-PBE", "state": "relaxed", "cell": [[4.009, 0.000, 0.000], [0.000, 6.923, 0.119], [0.000, -2.420, 6.474]], "species": ["Li", "La", "La", "Tm", "S", "S", "S", "S"], "frac_coords": [[0.500, 0.500, 0.000], [0.500, 0.000, 0.500], [0.000, 0.500, 0.500], [0.000, 0.000, 0.000], [0.500, 0.243, 0.225], [0.500, 0.757, 0.775], [0.000, 0.256, 0.772], [0.000, 0.744, 0.228]], "rho_g_cm3": 5.34, "sg": "P2/m (10)", "final_energy_ry_per_atom": -0.44464, "formation_energy_uncorrected_ev_per_atom": -1.96}